Record 1
First-principles (GGA-PBE) data for a relaxed structure of Cs2ZnP, as listed in Alexandria via LeMat-Bulk.

```
Cs2ZnP
1.0
0.0000 4.3236 4.3236
4.3236 0.0000 4.3236
4.3236 4.3236 0.0000
Cs Zn P
2 1 1
direct
0.2500 0.2500 0.2500
0.7500 0.7500 0.7500
0.5000 0.5000 0.5000
0.0000 0.0000 0.0000
```

## Properties
Calculated formation energy, eV per atom: 0.180
Crystal system: cubic

=====

Record 2
First-principles (GGA-PBE) data for a relaxed structure of Pm8Sn3Ge, as listed in Alexandria via LeMat-Bulk.

```
Pm8Sn3Ge
1.0
-6.7362 -2.9800 -0.1716
2.9744 -6.7368 0.2335
1.6293 5.0028 7.3389
Pm Sn Ge
8 3 1
direct
0.3664 0.3664 0.2436
0.3664 0.8772 0.2436
0.1228 0.6336 0.7564
0.1228 0.1228 0.7564
0.8772 0.8772 0.2436
0.8772 0.3664 0.2436
0.6336 0.1228 0.7564
0.6336 0.6336 0.7564
0.7500 0.2500 0.5000
0.5000 0.5000 0.0000
0.2500 0.7500 0.5000
0.0000 0.0000 0.0000
```

## Properties
Calculated formation energy, eV per atom: -0.454
Crystal system: tetragonal